First-principles (PBE) data for a geometry-optimized AcTh4Te5 structure, as listed in Alexandria.

Results
DFT total energy in eV for the cell shown: -60.88
Total magnetic moment in μB/cell: 0.01
Raw formation energy in eV/atom: -1.139

Lattice parameters (Å, degrees): 3.886 3.886 19.545 90.00 90.00 90.00
Atoms (fractional coordinates):
Ac  0.000  0.000  0.000
Th  0.000  0.000  0.205
Th  0.000  0.000  0.402
Th  0.000  0.000  0.598
Th  0.000  0.000  0.795
Te  0.500  0.500  0.110
Te  0.500  0.500  0.304
Te  0.500  0.500  0.500
Te  0.500  0.500  0.696
Te  0.500  0.500  0.890

First-principles (PBE) data for a geometry-optimized NiTeAs2 structure, as listed in Alexandria.

Results
DFT total energy in eV for the cell shown: -71.75
Total magnetic moment in μB/cell: 0.00
Raw formation energy in eV/atom: 0.071

Lattice parameters (Å, degrees): 5.865 5.865 11.445 90.00 90.00 90.00
Atoms (fractional coordinates):
Ni  0.000  0.000  0.000
Ni  0.000  0.500  0.250
Ni  0.500  0.000  0.750
Ni  0.500  0.500  0.500
Te  0.000  0.000  0.500
Te  0.000  0.500  0.750
Te  0.500  0.000  0.250
Te  0.500  0.500  0.000
As  0.167  0.250  0.125
As  0.250  0.667  0.375
As  0.250  0.833  0.875
As  0.333  0.250  0.625
As  0.667  0.750  0.625
As  0.750  0.167  0.875
As  0.750  0.333  0.375
As  0.833  0.750  0.125

First-principles (PBE) data for a geometry-optimized HgBiTeC2 structure, as listed in Alexandria.

Results
DFT total energy in eV for the cell shown: -14.20
Total magnetic moment in μB/cell: 2.51
Raw formation energy in eV/atom: 2.315

Lattice parameters (Å, degrees): 4.407 4.407 6.377 90.00 90.00 90.00
Atoms (fractional coordinates):
Hg  0.000  0.000  0.000
Bi  0.500  0.500  0.500
Te  0.000  0.000  0.500
C  0.000  0.500  0.000
C  0.500  0.000  0.000

First-principles (PBE) data for a geometry-optimized AsPRu2 structure, as listed in Alexandria.

Results
DFT total energy in eV for the cell shown: -115.73
Total magnetic moment in μB/cell: 0.00
Energy of formation in eV per atom: -0.080
Relative energy among the computed polymorphs in meV per atom: 210

Lattice parameters (Å, degrees): 6.041 6.041 6.041 90.00 90.00 90.00
Atoms (fractional coordinates):
As  0.000  0.000  0.000
As  0.000  0.500  0.500
As  0.500  0.000  0.500
As  0.500  0.500  0.000
P  0.000  0.000  0.500
P  0.000  0.500  0.000
P  0.500  0.000  0.000
P  0.500  0.500  0.500
Ru  0.250  0.250  0.250
Ru  0.250  0.250  0.750
Ru  0.250  0.750  0.250
Ru  0.250  0.750  0.750
Ru  0.750  0.250  0.250
Ru  0.750  0.250  0.750
Ru  0.750  0.750  0.250
Ru  0.750  0.750  0.750

First-principles (PBE) data for a geometry-optimized BaAlOs2 structure, as listed in Alexandria.

Results
DFT total energy in eV for the cell shown: -46.13
Total magnetic moment in μB/cell: 0.00
Energy of formation in eV per atom: 1.265

Lattice parameters (Å, degrees): 6.406 8.731 2.825 90.00 90.00 90.00
Atoms (fractional coordinates):
Ba  0.000  0.000  0.000
Ba  0.500  0.500  0.000
Al  0.000  0.500  0.000
Al  0.500  0.000  0.000
Os  0.250  0.250  0.500
Os  0.250  0.750  0.500
Os  0.750  0.250  0.500
Os  0.750  0.750  0.500

First-principles (PBE) data for a geometry-optimized CaYV2 structure, as listed in Alexandria.

Results
DFT total energy in eV for the cell shown: -95.36
Total magnetic moment in μB/cell: 30.74
Energy of formation in eV per atom: 0.716
Relative energy among the computed polymorphs in meV per atom: 0

Lattice parameters (Å, degrees): 7.344 7.344 7.344 90.00 90.00 90.00
Atoms (fractional coordinates):
Ca  0.000  0.000  0.000
Ca  0.000  0.500  0.500
Ca  0.500  0.000  0.500
Ca  0.500  0.500  0.000
Y  0.000  0.000  0.500
Y  0.000  0.500  0.000
Y  0.500  0.000  0.000
Y  0.500  0.500  0.500
V  0.250  0.250  0.250
V  0.250  0.250  0.750
V  0.250  0.750  0.250
V  0.250  0.750  0.750
V  0.750  0.250  0.250
V  0.750  0.250  0.750
V  0.750  0.750  0.250
V  0.750  0.750  0.750

First-principles (PBE) data for a geometry-optimized Rh2PbW structure, as listed in Alexandria.

Results
DFT total energy in eV for the cell shown: -60.33
Total magnetic moment in μB/cell: 0.00
Energy of formation in eV per atom: 0.299

Lattice parameters (Å, degrees): 5.804 7.858 2.936 90.00 90.00 90.00
Atoms (fractional coordinates):
Rh  0.250  0.250  0.000
Rh  0.250  0.750  0.000
Rh  0.750  0.250  0.000
Rh  0.750  0.750  0.000
Pb  0.000  0.000  0.500
Pb  0.500  0.500  0.500
W  0.000  0.500  0.500
W  0.500  0.000  0.500

First-principles (PBE) data for a geometry-optimized Sm2TeI structure, as listed in Alexandria.

Results
DFT total energy in eV for the cell shown: -55.17
Total magnetic moment in μB/cell: 0.00
Raw formation energy in eV/atom: -1.065
Relative energy among the computed polymorphs in meV per atom: 1

Lattice parameters (Å, degrees): 4.106 4.106 25.573 90.00 90.00 120.00
Atoms (fractional coordinates):
Sm  0.000  0.000  0.000
Sm  0.000  0.000  0.177
Sm  0.333  0.667  0.667
Sm  0.333  0.667  0.843
Sm  0.667  0.333  0.333
Sm  0.667  0.333  0.510
Te  0.000  0.000  0.589
Te  0.333  0.667  0.255
Te  0.667  0.333  0.922
I  0.000  0.000  0.755
I  0.333  0.667  0.422
I  0.667  0.333  0.088

First-principles (PBE) data for a geometry-optimized Tc2MoAs structure, as listed in Alexandria.

Results
DFT total energy in eV for the cell shown: -106.88
Total magnetic moment in μB/cell: 0.00
Energy of formation in eV per atom: 0.147

Lattice parameters (Å, degrees): 2.865 2.865 25.609 90.00 90.00 120.00
Atoms (fractional coordinates):
Tc  0.000  0.000  0.000
Tc  0.000  0.000  0.250
Tc  0.333  0.667  0.667
Tc  0.333  0.667  0.917
Tc  0.667  0.333  0.333
Tc  0.667  0.333  0.583
Mo  0.000  0.000  0.498
Mo  0.333  0.667  0.165
Mo  0.667  0.333  0.832
As  0.000  0.000  0.747
As  0.333  0.667  0.414
As  0.667  0.333  0.081

First-principles (PBE) data for a geometry-optimized RbBeBr2Cl structure, as listed in Alexandria.

Results
DFT total energy in eV for the cell shown: -15.44
Total magnetic moment in μB/cell: 0.00
Raw formation energy in eV/atom: -1.111

Lattice parameters (Å, degrees): 5.196 5.196 4.557 90.00 90.00 90.00
Atoms (fractional coordinates):
Rb  0.000  0.000  0.000
Be  0.500  0.500  0.500
Br  0.000  0.500  0.500
Br  0.500  0.000  0.500
Cl  0.500  0.500  0.000

First-principles (PBE) data for a geometry-optimized BeNbO structure, as listed in Alexandria.

Results
DFT total energy in eV for the cell shown: -45.42
Total magnetic moment in μB/cell: 0.00
Raw formation energy in eV/atom: -1.318
Relative energy among the computed polymorphs in meV per atom: 155

Lattice parameters (Å, degrees): 2.683 6.556 4.250 90.00 90.00 90.00
Atoms (fractional coordinates):
Be  0.000  0.089  0.000
Be  0.500  0.911  0.500
Nb  0.000  0.610  0.145
Nb  0.500  0.390  0.645
O  0.000  0.933  0.291
O  0.500  0.067  0.791

First-principles (PBE) data for a geometry-optimized SrThRh4 structure, as listed in Alexandria.

Results
DFT total energy in eV for the cell shown: -41.73
Total magnetic moment in μB/cell: 0.00
Energy of formation in eV per atom: -0.537

Lattice parameters (Å, degrees): 5.440 5.440 5.440 60.00 60.00 60.00
Atoms (fractional coordinates):
Sr  0.000  0.000  0.000
Th  0.750  0.750  0.750
Rh  0.375  0.375  0.375
Rh  0.375  0.375  0.875
Rh  0.375  0.875  0.375
Rh  0.875  0.375  0.375

First-principles (PBE) data for a geometry-optimized RuSe structure, as listed in Alexandria.

Results
DFT total energy in eV for the cell shown: -75.10
Total magnetic moment in μB/cell: 0.00
Raw formation energy in eV/atom: 0.122

Lattice parameters (Å, degrees): 12.357 3.016 5.499 90.00 92.06 90.00
Atoms (fractional coordinates):
Ru  0.000  0.000  0.000
Ru  0.084  0.000  0.529
Ru  0.185  0.500  0.903
Ru  0.500  0.500  0.000
Ru  0.584  0.500  0.529
Ru  0.685  0.000  0.903
Se  0.212  0.500  0.338
Se  0.346  0.000  0.817
Se  0.445  0.000  0.337
Se  0.712  0.000  0.338
Se  0.846  0.500  0.817
Se  0.945  0.500  0.337

First-principles (PBE) data for a geometry-optimized CePmScAg structure, as listed in Alexandria.

Results
DFT total energy in eV for the cell shown: -77.84
Total magnetic moment in μB/cell: 12.33
Energy of formation in eV per atom: 0.102

Lattice parameters (Å, degrees): 7.428 7.428 7.428 90.00 90.00 90.00
Atoms (fractional coordinates):
Ce  0.000  0.000  0.000
Ce  0.000  0.500  0.500
Ce  0.500  0.000  0.500
Ce  0.500  0.500  0.000
Pm  0.250  0.250  0.750
Pm  0.250  0.750  0.250
Pm  0.750  0.250  0.250
Pm  0.750  0.750  0.750
Sc  0.000  0.000  0.500
Sc  0.000  0.500  0.000
Sc  0.500  0.000  0.000
Sc  0.500  0.500  0.500
Ag  0.250  0.250  0.250
Ag  0.250  0.750  0.750
Ag  0.750  0.250  0.750
Ag  0.750  0.750  0.250

First-principles (PBE) data for a geometry-optimized Y3Be structure, as listed in Alexandria.

Results
DFT total energy in eV for the cell shown: -21.80
Total magnetic moment in μB/cell: 0.00
Energy of formation in eV per atom: 0.329
Relative energy among the computed polymorphs in meV per atom: 266

Lattice parameters (Å, degrees): 3.716 5.181 5.492 90.00 90.00 90.00
Atoms (fractional coordinates):
Y  0.000  0.000  0.000
Y  0.000  0.500  0.414
Y  0.500  0.500  0.868
Be  0.500  0.000  0.552

First-principles (PBE) data for a geometry-optimized CdSb2H structure, as listed in Alexandria.

Results
DFT total energy in eV for the cell shown: -43.80
Total magnetic moment in μB/cell: 0.00
Relative energy among the computed polymorphs in meV per atom: 186

Lattice parameters (Å, degrees): 5.205 5.205 14.622 90.00 90.00 90.00
Atoms (fractional coordinates):
Cd  0.000  0.000  0.000
Cd  0.000  0.500  0.250
Cd  0.500  0.000  0.750
Cd  0.500  0.500  0.500
Sb  0.136  0.250  0.625
Sb  0.250  0.636  0.875
Sb  0.250  0.864  0.375
Sb  0.364  0.250  0.125
Sb  0.636  0.750  0.125
Sb  0.750  0.136  0.375
Sb  0.750  0.364  0.875
Sb  0.864  0.750  0.625
H  0.000  0.000  0.500
H  0.000  0.500  0.750
H  0.500  0.000  0.250
H  0.500  0.500  0.000

First-principles (PBE) data for a geometry-optimized Be2AgTe structure, as listed in Alexandria.

Results
DFT total energy in eV for the cell shown: -21.37
Total magnetic moment in μB/cell: 0.00
Raw formation energy in eV/atom: 0.691

Lattice parameters (Å, degrees): 4.126 4.126 7.814 90.00 90.00 90.00
Atoms (fractional coordinates):
Be  0.000  0.500  0.250
Be  0.000  0.500  0.750
Be  0.500  0.000  0.250
Be  0.500  0.000  0.750
Ag  0.000  0.000  0.000
Ag  0.500  0.500  0.500
Te  0.000  0.000  0.500
Te  0.500  0.500  0.000

First-principles (PBE) data for a geometry-optimized Na17In11Cu structure, as listed in Alexandria.

Results
DFT total energy in eV for the cell shown: -59.26
Total magnetic moment in μB/cell: 0.00
Energy of formation in eV per atom: -0.090

Lattice parameters (Å, degrees): 10.209 10.209 10.149 109.10 109.10 110.21
Atoms (fractional coordinates):
Na  0.000  0.000  0.000
Na  0.002  0.002  0.656
Na  0.005  0.352  0.655
Na  0.005  0.597  0.969
Na  0.007  0.317  0.247
Na  0.287  0.693  0.343
Na  0.313  0.593  0.654
Na  0.317  0.007  0.247
Na  0.352  0.005  0.655
Na  0.406  0.406  0.380
Na  0.413  0.722  0.062
Na  0.593  0.313  0.654
Na  0.597  0.005  0.969
Na  0.656  0.656  0.308
Na  0.691  0.691  0.936
Na  0.693  0.287  0.343
Na  0.722  0.413  0.062
In  0.008  0.639  0.467
In  0.017  0.838  0.295
In  0.187  0.817  0.836
In  0.188  0.371  0.021
In  0.358  0.358  0.813
In  0.371  0.188  0.021
In  0.634  0.817  0.653
In  0.639  0.008  0.467
In  0.817  0.187  0.836
In  0.817  0.634  0.653
In  0.838  0.017  0.295
Cu  0.164  0.164  0.495

First-principles (PBE) data for a geometry-optimized Tb2Te2S structure, as listed in Alexandria.

Results
DFT total energy in eV for the cell shown: -55.22
Total magnetic moment in μB/cell: 0.00
Raw formation energy in eV/atom: -1.588
Relative energy among the computed polymorphs in meV per atom: 0

Lattice parameters (Å, degrees): 7.771 7.771 7.771 117.94 82.64 131.27
Atoms (fractional coordinates):
Tb  0.100  0.232  0.333
Tb  0.400  0.732  0.132
Tb  0.600  0.268  0.868
Tb  0.900  0.768  0.667
Te  0.146  0.627  0.773
Te  0.354  0.127  0.480
Te  0.646  0.873  0.520
Te  0.854  0.373  0.227
S  0.250  0.250  0.000
S  0.750  0.750  0.000

First-principles (PBE) data for a geometry-optimized Mg4PaPt5 structure, as listed in Alexandria.

Results
DFT total energy in eV for the cell shown: -54.79
Total magnetic moment in μB/cell: 0.00
Energy of formation in eV per atom: -0.871

Lattice parameters (Å, degrees): 3.247 3.247 16.167 90.00 90.00 90.00
Atoms (fractional coordinates):
Mg  0.000  0.000  0.094
Mg  0.000  0.000  0.281
Mg  0.000  0.000  0.719
Mg  0.000  0.000  0.906
Pa  0.000  0.000  0.500
Pt  0.500  0.500  0.000
Pt  0.500  0.500  0.188
Pt  0.500  0.500  0.380
Pt  0.500  0.500  0.620
Pt  0.500  0.500  0.812